# 1
Entry from the Alexandria database: a relaxed structure of CaGa3O (PBE-GGA).

E = -3.5796 eV per atom
raw formation energy = -0.372 eV per atom
excess energy over the best structure of this formula in the dataset = 0.000 eV/atom
magnetization = 0.00 Bohr magnetons per cell

a = 4.609 Å, b = 4.609 Å, c = 4.609 Å
α = 90.00°, β = 90.00°, γ = 90.00°
Element x y z (fractional)
Ga: 0.000 0.000 0.500
Ga: 0.000 0.500 0.000
Ga: 0.500 0.000 0.000
O: 0.000 0.000 0.000
Ca: 0.500 0.500 0.500

# 2
Entry from the Alexandria database: a relaxed structure of CaGaO2 (PBE-GGA).

E = -5.6784 eV per atom
raw formation energy = -1.942 eV per atom
magnetization = 0.00 Bohr magnetons per cell

a = 5.598 Å, b = 5.238 Å, c = 7.440 Å
α = 90.00°, β = 90.00°, γ = 90.00°
Element x y z (fractional)
O: 0.350 0.344 0.934
O: 0.339 0.296 0.342
O: 0.339 0.796 0.158
O: 0.350 0.844 0.566
O: 0.850 0.156 0.434
O: 0.850 0.656 0.066
O: 0.839 0.204 0.842
O: 0.839 0.704 0.658
Ga: 0.026 0.532 0.855
Ga: 0.026 0.032 0.645
Ga: 0.526 0.468 0.145
Ga: 0.526 0.968 0.355
Ca: 0.039 0.587 0.382
Ca: 0.539 0.413 0.618
Ca: 0.039 0.087 0.118
Ca: 0.539 0.913 0.882

# 3
Entry from the Alexandria database: a relaxed structure of Ca3Ga5O12 (PBE-GGA).

E = -5.9966 eV per atom
raw formation energy = -1.965 eV per atom
magnetization = 12.56 Bohr magnetons per cell

a = 10.852 Å, b = 10.852 Å, c = 10.852 Å
α = 109.47°, β = 109.47°, γ = 109.47°
Site moments in Bohr magnetons follow the coordinates.
Element x y z (fractional)
Ca: 0.625 0.250 0.375  0.00
Ca: 0.375 0.750 0.625  0.00
Ca: 0.125 0.250 0.875  0.00
Ca: 0.750 0.375 0.125  0.00
Ca: 0.625 0.375 0.750  0.00
Ca: 0.750 0.875 0.625  0.00
Ca: 0.875 0.750 0.125  0.00
Ca: 0.125 0.875 0.750  0.00
Ca: 0.375 0.625 0.250  0.00
Ca: 0.875 0.125 0.250  0.00
Ca: 0.250 0.125 0.375  0.00
Ca: 0.250 0.625 0.875  0.00
O: 0.799 0.478 0.382  0.22
O: 0.678 0.201 0.583  0.22
O: 0.799 0.322 0.917  0.22
O: 0.405 0.022 0.322  0.22
O: 0.522 0.322 0.905  0.22
O: 0.478 0.678 0.095  0.22
O: 0.905 0.822 0.522  0.22
O: 0.583 0.701 0.678  0.22
O: 0.417 0.118 0.595  0.22
O: 0.978 0.382 0.299  0.22
O: 0.382 0.978 0.799  0.22
O: 0.022 0.618 0.701  0.22
O: 0.522 0.201 0.118  0.22
O: 0.917 0.095 0.618  0.22
O: 0.678 0.478 0.595  0.22
O: 0.905 0.083 0.882  0.22
O: 0.322 0.522 0.405  0.22
O: 0.022 0.405 0.822  0.22
O: 0.595 0.618 0.417  0.22
O: 0.478 0.799 0.882  0.22
O: 0.701 0.118 0.022  0.22
O: 0.583 0.882 0.405  0.22
O: 0.178 0.083 0.701  0.22
O: 0.822 0.917 0.299  0.22
O: 0.118 0.701 0.522  0.22
O: 0.118 0.417 0.095  0.22
O: 0.095 0.917 0.118  0.22
O: 0.178 0.095 0.978  0.22
O: 0.701 0.583 0.178  0.22
O: 0.299 0.417 0.822  0.22
O: 0.322 0.799 0.417  0.22
O: 0.405 0.382 0.583  0.22
O: 0.201 0.522 0.618  0.22
O: 0.595 0.978 0.678  0.22
O: 0.299 0.882 0.978  0.22
O: 0.978 0.595 0.178  0.22
O: 0.917 0.822 0.799  0.22
O: 0.201 0.678 0.083  0.22
O: 0.882 0.583 0.905  0.22
O: 0.095 0.178 0.478  0.22
O: 0.882 0.299 0.478  0.22
O: 0.618 0.022 0.201  0.22
O: 0.417 0.299 0.322  0.22
O: 0.382 0.405 0.083  0.22
O: 0.822 0.905 0.022  0.22
O: 0.083 0.905 0.382  0.22
O: 0.618 0.595 0.917  0.22
O: 0.083 0.178 0.201  0.22
Ga: 0.750 0.625 0.375  0.00
Ga: 0.125 0.750 0.375  0.00
Ga: 0.500 0.000 0.000  -0.01
Ga: 0.500 0.500 0.500  -0.01
Ga: 0.750 0.125 0.875  0.00
Ga: 0.375 0.250 0.125  0.00
Ga: 0.875 0.625 0.750  0.00
Ga: 0.375 0.125 0.750  0.00
Ga: 0.500 0.500 0.000  -0.01
Ga: 0.125 0.375 0.250  0.00
Ga: 0.500 0.000 0.500  -0.01
Ga: 0.000 0.000 0.000  -0.01
Ga: 0.000 0.500 0.500  -0.01
Ga: 0.625 0.875 0.250  0.00
Ga: 0.875 0.250 0.625  0.00
Ga: 0.000 0.000 0.500  -0.01
Ga: 0.625 0.750 0.875  0.00
Ga: 0.250 0.875 0.125  0.00
Ga: 0.250 0.375 0.625  0.00
Ga: 0.000 0.500 0.000  -0.01

# 4
Entry from the Alexandria database: a relaxed structure of Ca2GaO (PBE-GGA).

E = -4.4224 eV per atom
raw formation energy = -1.425 eV per atom
excess energy over the best structure of this formula in the dataset = 0.000 eV/atom
magnetization = 0.00 Bohr magnetons per cell

a = 6.784 Å, b = 6.784 Å, c = 6.407 Å
α = 58.03°, β = 58.03°, γ = 90.00°
Element x y z (fractional)
Ca: 0.518 0.125 0.250
Ca: 0.875 0.768 0.750
Ca: 0.375 0.482 0.750
Ca: 0.232 0.625 0.250
O: 0.500 0.500 0.000
O: 0.250 0.750 0.500
Ga: 0.000 0.000 0.000
Ga: 0.750 0.250 0.500

# 5
Entry from the Alexandria database: a relaxed structure of CaGa2OsO8 (PBE-GGA).

E = -6.4026 eV per atom
raw formation energy = -1.490 eV per atom
magnetization = 0.19 Bohr magnetons per cell

a = 4.742 Å, b = 4.726 Å, c = 6.325 Å
α = 90.00°, β = 90.00°, γ = 89.95°
Site moments in Bohr magnetons follow the coordinates.
Element x y z (fractional)
O: 0.676 0.681 0.500  0.08
O: 0.804 0.200 0.205  0.00
O: 0.324 0.319 0.500  0.08
O: 0.296 0.293 0.000  0.00
O: 0.804 0.200 0.795  0.00
O: 0.704 0.707 0.000  0.00
O: 0.196 0.800 0.205  0.00
O: 0.196 0.800 0.795  0.00
Ga: 0.500 0.500 0.739  0.00
Ga: 0.500 0.500 0.261  0.00
Ca: 0.000 0.000 0.500  0.00
Os: 0.000 0.000 0.000  -0.01

# 6
Entry from the Alexandria database: a relaxed structure of Ca2GaOsO6 (PBE-GGA).

E = -6.7154 eV per atom
raw formation energy = -1.915 eV per atom
magnetization = 0.04 Bohr magnetons per cell

a = 3.795 Å, b = 5.593 Å, c = 5.593 Å
α = 90.00°, β = 90.00°, γ = 90.00°
Element x y z (fractional)
Os: 0.645 0.500 0.500
Ca: 0.143 0.500 0.000
Ca: 0.143 0.000 0.500
Ga: 0.644 0.000 0.000
O: 0.145 0.000 0.000
O: 0.145 0.500 0.500
O: 0.645 0.748 0.748
O: 0.645 0.252 0.748
O: 0.645 0.748 0.252
O: 0.645 0.252 0.252